[1]
This record from Alexandria via LeMat-Bulk describes an optimized crystal structure of BaAlCo. The functional is PBEsol.

**Energy of formation from the pure elements**: 0.51 eV per atom
**Raw total energy**: -4.15 eV per atom

a b c (Å): 6.6169 6.6169 6.6169
angles (deg): 90.00 90.00 90.00
Fractional coordinates of all 12 atoms:
Ba 0.0000 0.0000 0.0000
Ba 0.0000 0.5000 0.5000
Ba 0.5000 0.0000 0.5000
Ba 0.5000 0.5000 0.0000
Al 0.0000 0.0000 0.5000
Al 0.0000 0.5000 0.0000
Al 0.5000 0.0000 0.0000
Al 0.5000 0.5000 0.5000
Co 0.2500 0.2500 0.7500
Co 0.2500 0.7500 0.2500
Co 0.7500 0.2500 0.2500
Co 0.7500 0.7500 0.7500


[2]
This record from Alexandria via LeMat-Bulk describes an optimized crystal structure of BaAl3Co. The functional is PBEsol.

**Energy of formation from the pure elements**: -0.31 eV per atom
**Raw total energy**: -4.74 eV per atom

a b c (Å): 4.6409 4.6409 4.6409
angles (deg): 90.00 90.00 90.00
Fractional coordinates of all 5 atoms:
Ba 0.0000 0.0000 0.0000
Al 0.0000 0.5000 0.5000
Al 0.5000 0.0000 0.5000
Al 0.5000 0.5000 0.0000
Co 0.5000 0.5000 0.5000


[3]
This record from Alexandria via LeMat-Bulk describes an optimized crystal structure of BaAl2Co. The functional is PBEsol.

**Energy of formation from the pure elements**: 0.44 eV per atom
**Raw total energy**: -4.08 eV per atom

a b c (Å): 6.8807 6.8807 6.8807
angles (deg): 90.00 90.00 90.00
Fractional coordinates of all 16 atoms:
Ba 0.0000 0.0000 0.0000
Ba 0.0000 0.5000 0.5000
Ba 0.5000 0.0000 0.5000
Ba 0.5000 0.5000 0.0000
Al 0.0000 0.0000 0.5000
Al 0.0000 0.5000 0.0000
Al 0.2500 0.2500 0.7500
Al 0.2500 0.7500 0.2500
Al 0.5000 0.0000 0.0000
Al 0.5000 0.5000 0.5000
Al 0.7500 0.2500 0.2500
Al 0.7500 0.7500 0.7500
Co 0.2500 0.2500 0.2500
Co 0.2500 0.7500 0.7500
Co 0.7500 0.2500 0.7500
Co 0.7500 0.7500 0.2500


Question: Number 3 is which compound?
Answer: BaAl2Co